# BeReN2 | the Alexandria database | GGA-PBE | relaxed
data_BeReN2
_space_group_name_H-M_alt 'I -4 2 d'
_space_group_IT_number 122
_space_group_name_Hall 'I -4 2bw'
_cell_length_a 4.443
_cell_length_b 4.443
_cell_length_c 8.049
_cell_angle_alpha 90.00
_cell_angle_beta 90.00
_cell_angle_gamma 90.00
loop_
_atom_site_label
_atom_site_fract_x
_atom_site_fract_y
_atom_site_fract_z
Be1 0.000 0.000 0.000
Re1 0.000 0.000 0.500
N1 0.209 0.250 0.125
# Energy relative to the elements, uncorrected = -0.109 eV/atom
# Spin magnetization = 2.1 μB/cell